No. 1
Compound: CuBiPd
Source: the Alexandria database
Functional: PBE
Structure: relaxed

Results
Mass density, g/cm³: 10.9
Density of states at the Fermi level, states/eV per cell: 1.48
E above lowest polymorph, meV/atom: 85.3
Energy relative to the elements, eV/f.u.: 0.00

The structure in POSCAR format:
```
CuBiPd
1.0
-3.337 0.074 -0.477
-0.421 -3.735 2.366
-0.202 3.947 2.026
Cu Bi Pd
1 1 1
direct
0.167 0.333 0.667
0.667 0.667 0.333
0.167 0.000 0.000
```

=====

No. 2
Compound: Cu2BiPd7
Source: the Alexandria database
Functional: PBE
Structure: relaxed

Results
Mass density, g/cm³: 9.1
Density of states at the Fermi level, states/eV per cell: 12.35
Energy relative to the elements, eV/f.u.: 3.30

The structure in POSCAR format:
```
Cu2BiPd7
1.0
-3.623 2.132 -1.348
-2.883 -6.221 -2.089
-1.137 2.298 6.693
Cu Bi Pd
2 1 7
direct
0.500 0.698 0.302
0.500 0.302 0.698
0.000 0.000 0.000
0.000 0.782 0.218
0.000 0.218 0.782
0.500 0.069 0.303
0.500 0.931 0.697
0.500 0.303 0.069
0.500 0.697 0.931
0.500 0.500 0.500
```

=====

No. 3
Compound: CuBi2Pd2
Source: the Alexandria database
Functional: PBE
Structure: relaxed

Results
Mass density, g/cm³: 11.1
Density of states at the Fermi level, states/eV per cell: 8.08
E above lowest polymorph, meV/atom: 0.0
Energy relative to the elements, eV/f.u.: -0.40

The structure in POSCAR format:
```
CuBi2Pd2
1.0
-0.532 -6.343 -3.078
-2.876 -2.623 5.903
-3.774 0.994 -1.397
Cu Bi Pd
2 4 4
direct
0.000 0.000 0.000
0.500 0.500 0.000
0.167 0.667 0.500
0.667 0.833 0.500
0.833 0.333 0.500
0.333 0.167 0.500
0.358 0.858 0.000
0.858 0.642 0.000
0.642 0.142 0.000
0.142 0.358 0.000
```

=====

No. 4
Compound: Cu3Bi2Pd8
Source: the Alexandria database
Functional: PBE
Structure: relaxed

Results
Mass density, g/cm³: 10.7
Density of states at the Fermi level, states/eV per cell: 5.36
Energy relative to the elements, eV/f.u.: -0.97

The structure in POSCAR format:
```
Cu3Bi2Pd8
1.0
4.203 0.000 1.400
0.000 9.036 0.000
-0.712 -4.518 5.708
Cu Bi Pd
3 2 8
direct
0.500 0.000 0.000
0.000 0.240 0.000
0.000 0.760 0.000
0.346 0.288 0.576
0.654 0.712 0.424
0.210 0.570 0.139
0.790 0.430 0.861
0.929 0.133 0.266
0.071 0.867 0.734
0.552 0.637 0.743
0.552 0.106 0.743
0.448 0.894 0.257
0.448 0.363 0.257
```

=====

No. 5
Compound: Cu5BiPd6
Source: the Alexandria database
Functional: PBE
Structure: relaxed

Results
Mass density, g/cm³: 10.9
Density of states at the Fermi level, states/eV per cell: 3.38
Energy relative to the elements, eV/f.u.: -1.85

The structure in POSCAR format:
```
Cu5BiPd6
1.0
-0.851 -3.756 -1.432
6.850 -1.537 -0.038
-0.012 -0.214 6.493
Pd Bi Cu
6 1 5
direct
0.830 0.738 0.661
0.830 0.262 0.661
0.500 0.267 0.000
0.500 0.733 0.000
0.170 0.738 0.339
0.170 0.262 0.339
0.000 0.000 0.000
0.668 0.500 0.335
0.322 0.000 0.643
0.000 0.500 0.000
0.678 0.000 0.357
0.332 0.500 0.665
```

=====

No. 6
Compound: Cu3BiPd4
Source: the Alexandria database
Functional: PBE
Structure: relaxed

Results
Mass density, g/cm³: 11.1
Density of states at the Fermi level, states/eV per cell: 7.69
Energy relative to the elements, eV/f.u.: -1.15

The structure in POSCAR format:
```
Cu3BiPd4
1.0
4.135 0.000 0.000
0.000 7.203 0.000
0.000 0.000 8.274
Pd Bi Cu
8 2 6
direct
0.500 0.771 0.000
0.500 0.771 0.500
0.500 0.229 0.000
0.500 0.229 0.500
0.000 0.771 0.750
0.000 0.771 0.250
0.000 0.229 0.250
0.000 0.229 0.750
0.000 0.500 0.000
0.000 0.500 0.500
0.000 0.000 0.000
0.000 0.000 0.500
0.500 0.000 0.750
0.500 0.000 0.250
0.500 0.500 0.750
0.500 0.500 0.250
```

=====

No. 7
Compound: CuBi2Pd2
Source: the Alexandria database
Functional: PBE
Structure: relaxed

Results
Mass density, g/cm³: 10.7
Density of states at the Fermi level, states/eV per cell: 3.88
E above lowest polymorph, meV/atom: 131.8
Energy relative to the elements, eV/f.u.: 0.26

The structure in POSCAR format:
```
CuBi2Pd2
1.0
-5.881 4.248 -2.706
-1.723 -5.606 -5.055
-2.207 -1.510 2.427
Cu Bi Pd
2 4 4
direct
0.000 0.000 0.000
0.500 0.500 0.000
0.332 0.832 0.000
0.832 0.668 0.000
0.668 0.168 0.000
0.168 0.332 0.000
0.130 0.630 0.500
0.630 0.870 0.500
0.870 0.370 0.500
0.370 0.130 0.500
```

=====

No. 8
Compound: CuBiPd
Source: the Alexandria database
Functional: PBE
Structure: relaxed

Results
Mass density, g/cm³: 11.3
Density of states at the Fermi level, states/eV per cell: 0.95
E above lowest polymorph, meV/atom: 35.8
Energy relative to the elements, eV/f.u.: -0.15

The structure in POSCAR format:
```
CuBiPd
1.0
-2.433 -1.778 -1.915
2.279 -0.166 -2.743
1.634 -2.798 3.851
Pd Bi Cu
1 1 1
direct
0.941 0.941 0.883
0.615 0.615 0.229
0.294 0.294 0.588
```

=====

No. 9
Compound: CuBi2Pd9
Source: the Alexandria database
Functional: PBE
Structure: relaxed

Results
Mass density, g/cm³: 11.9
Density of states at the Fermi level, states/eV per cell: 8.87
Energy relative to the elements, eV/f.u.: -2.32

The structure in POSCAR format:
```
CuBi2Pd9
1.0
4.084 0.000 0.000
0.000 4.084 0.000
0.000 0.000 12.044
Cu Bi Pd
1 2 9
direct
0.000 0.000 0.000
0.000 0.000 0.318
0.000 0.000 0.682
0.500 0.500 0.000
0.500 0.500 0.332
0.500 0.500 0.668
0.500 0.000 0.152
0.500 0.000 0.500
0.500 0.000 0.848
0.000 0.500 0.152
0.000 0.500 0.500
0.000 0.500 0.848
```

=====

No. 10
Compound: CuBiPd3
Source: the Alexandria database
Functional: PBE
Structure: relaxed

Results
Mass density, g/cm³: 11.3
Density of states at the Fermi level, states/eV per cell: 9.75
E above lowest polymorph, meV/atom: 0.0
Energy relative to the elements, eV/f.u.: -0.69

The structure in POSCAR format:
```
CuBiPd3
1.0
0.134 -1.451 -6.129
-5.154 -5.922 1.289
-5.328 5.033 1.816
Cu Bi Pd
4 4 12
direct
0.533 0.728 0.064
0.467 0.272 0.936
0.967 0.228 0.936
0.033 0.772 0.064
0.181 0.412 0.330
0.819 0.588 0.670
0.319 0.912 0.670
0.681 0.088 0.330
0.283 0.003 0.017
0.717 0.997 0.983
0.217 0.503 0.983
0.783 0.497 0.017
0.628 0.438 0.308
0.372 0.562 0.692
0.872 0.938 0.692
0.128 0.062 0.308
0.944 0.726 0.373
0.056 0.274 0.627
0.556 0.226 0.627
0.444 0.774 0.373
```

=====

No. 11
Compound: CuBi4Pd15
Source: the Alexandria database
Functional: PBE
Structure: relaxed

Results
Mass density, g/cm³: 12.1
Density of states at the Fermi level, states/eV per cell: 10.81
Energy relative to the elements, eV/f.u.: -4.29

The structure in POSCAR format:
```
CuBi4Pd15
1.0
-4.062 0.558 -0.387
-0.118 -2.890 -2.932
-3.286 -14.153 14.083
Cu Bi Pd
1 4 15
direct
0.000 0.000 0.000
0.000 0.000 0.185
0.000 0.000 0.396
0.000 0.000 0.604
0.000 0.000 0.815
0.500 0.500 0.000
0.500 0.500 0.197
0.500 0.500 0.399
0.500 0.500 0.601
0.500 0.500 0.803
0.500 0.000 0.089
0.500 0.000 0.295
0.500 0.000 0.500
0.500 0.000 0.705
0.500 0.000 0.911
0.000 0.500 0.089
0.000 0.500 0.295
0.000 0.500 0.500
0.000 0.500 0.705
0.000 0.500 0.911
```

=====

No. 12
Compound: CuBiPd5
Source: the Alexandria database
Functional: PBE
Structure: relaxed

Results
Mass density, g/cm³: 11.0
Density of states at the Fermi level, states/eV per cell: 8.75
Energy relative to the elements, eV/f.u.: -0.55

The structure in POSCAR format:
```
CuBiPd5
1.0
-5.459 -1.375 -4.061
0.835 -6.121 -3.166
-6.335 -8.773 -1.967
Cu Bi Pd
2 2 10
direct
0.000 0.000 0.000
0.000 0.000 0.500
0.500 0.500 0.250
0.500 0.500 0.750
0.462 0.935 0.415
0.065 0.538 0.585
0.935 0.462 0.915
0.000 0.000 0.250
0.462 0.935 0.915
0.538 0.065 0.085
0.000 0.000 0.750
0.065 0.538 0.085
0.935 0.462 0.415
0.538 0.065 0.585
```

=====

No. 13
Compound: Cu2Bi2Pd7
Source: the Alexandria database
Functional: PBE
Structure: relaxed

Results
Mass density, g/cm³: 10.1
Density of states at the Fermi level, states/eV per cell: 5.42
Energy relative to the elements, eV/f.u.: 0.92

The structure in POSCAR format:
```
Cu2Bi2Pd7
1.0
6.120 -0.003 -0.200
0.002 5.712 0.003
-0.581 -0.002 6.095
Cu Bi Pd
2 2 7
direct
0.727 0.000 0.273
0.273 0.000 0.727
0.797 0.500 0.797
0.203 0.500 0.203
0.000 0.249 0.500
0.500 0.751 0.000
0.000 0.751 0.500
0.500 0.249 0.000
0.000 0.000 0.000
0.500 0.748 0.500
0.500 0.252 0.500
```

=====

No. 14
Compound: CuBi3Pd12
Source: the Alexandria database
Functional: PBE
Structure: relaxed

Results
Mass density, g/cm³: 12.0
Density of states at the Fermi level, states/eV per cell: 9.93
Energy relative to the elements, eV/f.u.: -3.33

The structure in POSCAR format:
```
CuBi3Pd12
1.0
4.101 0.000 0.000
0.000 4.101 0.000
0.000 0.000 16.186
Cu Bi Pd
1 3 12
direct
0.000 0.000 0.000
0.000 0.000 0.233
0.000 0.000 0.500
0.000 0.000 0.767
0.500 0.500 0.000
0.500 0.500 0.248
0.500 0.500 0.500
0.500 0.500 0.752
0.500 0.000 0.113
0.500 0.000 0.372
0.500 0.000 0.628
0.500 0.000 0.887
0.000 0.500 0.113
0.000 0.500 0.372
0.000 0.500 0.628
0.000 0.500 0.887
```

=====

No. 15
Compound: Cu3BiPd
Source: the Alexandria database
Functional: PBE
Structure: relaxed

Results
Mass density, g/cm³: 8.2
Density of states at the Fermi level, states/eV per cell: 2.41
E above lowest polymorph, meV/atom: 0.0
Energy relative to the elements, eV/f.u.: 3.13

The structure in POSCAR format:
```
Cu3BiPd
1.0
-1.068 -3.036 -3.396
4.491 -1.287 -0.262
-0.764 -3.319 3.208
Cu Bi Pd
3 1 1
direct
0.000 0.500 0.000
0.000 0.000 0.500
0.500 0.000 0.000
0.500 0.500 0.500
0.000 0.000 0.000
```

=====

No. 16
Compound: Cu2Bi2Pd
Source: the Alexandria database
Functional: PBE
Structure: relaxed

Results
Mass density, g/cm³: 10.7
Density of states at the Fermi level, states/eV per cell: 1.88
E above lowest polymorph, meV/atom: 21.8
Energy relative to the elements, eV/f.u.: 0.39

The structure in POSCAR format:
```
Cu2Bi2Pd
1.0
-2.884 1.811 -0.604
-1.894 -2.850 0.496
-2.971 1.303 8.191
Cu Bi Pd
2 2 1
direct
0.750 0.250 0.500
0.250 0.750 0.500
0.393 0.393 0.214
0.607 0.607 0.786
0.000 0.000 0.000
```

=====

No. 17
Compound: CuBiPd3
Source: the Alexandria database
Functional: PBE
Structure: relaxed

Results
Mass density, g/cm³: 9.8
Density of states at the Fermi level, states/eV per cell: 5.49
E above lowest polymorph, meV/atom: 525.2
Energy relative to the elements, eV/f.u.: 1.93

The structure in POSCAR format:
```
CuBiPd3
1.0
-1.466 -3.789 -2.254
3.174 -2.556 2.231
-3.060 -0.836 3.395
Cu Bi Pd
1 1 3
direct
0.000 0.000 0.000
0.500 0.500 0.500
0.000 0.500 0.000
0.000 0.000 0.500
0.500 0.000 0.000
```

=====

No. 18
Compound: CuBi2Pd2
Source: the Alexandria database
Functional: PBE
Structure: relaxed

Results
Mass density, g/cm³: 10.4
Density of states at the Fermi level, states/eV per cell: 2.80
E above lowest polymorph, meV/atom: 186.9
Energy relative to the elements, eV/f.u.: 0.53

The structure in POSCAR format:
```
CuBi2Pd2
1.0
-1.189 -3.525 -0.843
0.610 -1.069 3.611
-7.425 -0.318 3.174
Cu Bi Pd
1 2 2
direct
0.000 0.000 0.000
0.391 0.391 0.219
0.609 0.609 0.781
0.750 0.250 0.500
0.250 0.750 0.500
```

=====

No. 19
Compound: Cu5BiPd8
Source: the Alexandria database
Functional: PBE
Structure: relaxed

Results
Mass density, g/cm³: 10.4
Density of states at the Fermi level, states/eV per cell: 8.25
Energy relative to the elements, eV/f.u.: 0.01

The structure in POSCAR format:
```
Cu5BiPd8
1.0
6.590 -0.036 0.062
-2.264 6.189 -0.062
-2.063 -3.147 5.410
Cu Bi Pd
5 1 8
direct
0.039 0.339 0.128
0.872 0.911 0.211
0.789 0.661 0.700
0.500 0.000 0.500
0.300 0.089 0.961
0.250 0.500 0.750
0.140 0.739 0.075
0.925 0.066 0.664
0.739 0.261 0.339
0.661 0.399 0.922
0.523 0.601 0.261
0.598 0.934 0.860
0.336 0.261 0.402
0.078 0.739 0.477
```

=====

No. 20
Compound: CuBi2Pd8
Source: the Alexandria database
Functional: PBE
Structure: relaxed

Results
Mass density, g/cm³: 11.7
Density of states at the Fermi level, states/eV per cell: 5.96
E above lowest polymorph, meV/atom: 22.7
Energy relative to the elements, eV/f.u.: -1.76

The structure in POSCAR format:
```
CuBi2Pd8
1.0
-4.202 -0.277 -0.066
0.427 -6.470 0.020
1.836 2.518 6.926
Cu Bi Pd
1 2 8
direct
0.500 0.000 0.000
0.788 0.335 0.576
0.212 0.665 0.424
0.415 0.560 0.830
0.668 0.912 0.335
0.862 0.818 0.725
0.965 0.265 0.929
0.138 0.182 0.275
0.332 0.088 0.665
0.585 0.440 0.170
0.035 0.735 0.071
```